Record 1
Crystalline Na3LaAg at its relaxed geometry, computed with PBE.

```
Na3LaAg
1.0
6.1556 0.0000 0.0000
0.0000 6.1556 0.0000
0.0000 0.0000 6.1556
Na La Ag
3 1 1
direct
0.0000 0.0000 0.5000 Na
0.0000 0.5000 0.0000 Na
0.5000 0.0000 0.0000 Na
0.0000 0.0000 0.0000 La
0.5000 0.5000 0.5000 Ag
```

Calculated values
E_form ... 1.192 eV per atom
Crystal system ... cubic


Record 2
Crystalline NbNiS3 at its relaxed geometry, computed with PBE.

```
NbNiS3
1.0
4.3319 0.0000 0.0000
0.0000 4.3319 0.0000
0.0000 0.0000 4.3319
Nb Ni S
1 1 3
direct
0.0000 0.0000 0.0000 Nb
0.5000 0.5000 0.5000 Ni
0.0000 0.5000 0.5000 S
0.5000 0.0000 0.5000 S
0.5000 0.5000 0.0000 S
```

Calculated values
Formation energy from raw total energies ... 1.58 eV per formula unit
Crystal system ... cubic


Results for spin magnetization: 0.115; 0.000 (in μB per atom, following the order of the records).
Results for ΔE to the lowest computed polymorph: 813; 912 (in meV per atom, following the order of the records).